A.
Mg2Cd2Te: optimized geometry, PBE.

The structure belongs to space group P4/mbm (No. 127); the cell edges are 8.247, 8.247 and 3.714 Å and the angles 90.00°, 90.00° and 90.00°. Symmetry generates all atoms from Mg at (0.175, 0.325, 0.000), Cd at (0.127, 0.627, 0.500) and Te at (0.000, 0.000, 0.000).

The calculation puts the density of states at the Fermi level at 3.9 states/eV per cell.

---

B.
Mg2Cd2Te: optimized geometry, PBE.

The structure belongs to space group I4/mmm (No. 139); the cell edges are 4.396, 4.396 and 13.334 Å and the angles 90.00°, 90.00° and 90.00°. Symmetry generates all atoms from Mg at (0.000, 0.500, 0.250), Cd at (0.000, 0.000, 0.104) and Te at (0.000, 0.000, 0.500).

The calculation puts the density of states at the Fermi level at 5.3 states/eV per cell.

---

Short version: A is the most stable of them.

---

A.
ThMg2Cd2: optimized geometry, PBE.

The structure belongs to space group C2/m (No. 12); the cell edges are 14.911, 3.420 and 5.081 Å and the angles 90.00°, 109.73° and 90.00°. Symmetry generates all atoms from Th at (0.000, 0.000, 0.000), Mg at (0.219, 0.500, 0.218) and Cd at (0.106, 0.500, 0.606).

The calculation puts the density of states at the Fermi level at 6.9 states/eV per cell.

---

B.
ThMg2Cd2: optimized geometry, PBE.

The structure belongs to space group Cmmm (No. 65); the cell edges are 3.374, 22.174 and 3.377 Å and the angles 90.00°, 90.00° and 90.00°. Symmetry generates all atoms from Th at (0.000, 0.000, 0.000), Mg at (0.000, 0.192, 0.000) and Cd at (0.000, 0.392, 0.500).

The calculation puts the density of states at the Fermi level at 7.4 states/eV per cell.

---

Short version: A is the most stable of them.